First-principles (PBE) data for crystalline Rb8H3Cl4F at its relaxed geometry, as listed in Alexandria.

Unit cell a=15.5200 b=8.9523 c=9.0153 alpha=90.00 beta=124.99 gamma=90.00
Space group C2/m (No. 12)
Asymmetric unit:
Rb (0.0071, 0.2456, 0.2762) [8 per cell]
Rb (0.2385, 0.0000, 0.7240) [4 per cell]
Rb (0.2426, 0.5000, 0.7272) [4 per cell]
H (0.0000, 0.5000, 0.5000) [2 per cell]
H (0.2500, 0.2500, 0.5000) [4 per cell]
Cl (0.0000, 0.0000, 0.0000) [2 per cell]
Cl (0.0000, 0.5000, 0.0000) [2 per cell]
Cl (0.2500, 0.2500, 0.0000) [4 per cell]
F (0.0000, 0.0000, 0.5000) [2 per cell]

**Calculated total energy**: -3.043 eV per atom
**Total magnetic moment**: 0.01 μB/atom